(1)
# CrRh2Pb

CrRh2Pb at its PBEsol-relaxed geometry (SCAN, Alexandria).

Geometry as POSCAR:
```
CrRh2Pb
1.0
0.0000 3.1478 3.1478
3.1478 0.0000 3.1478
3.1478 3.1478 0.0000
Cr Rh Pb
1 2 1
Direct
0.0000 0.0000 0.0000
0.2500 0.2500 0.2500
0.5000 0.5000 0.5000
0.7500 0.7500 0.7500
```

Values from the calculation:
As for the space group: F-43m, No. 216. Its formation energy is 213 meV/atom.

(2)
# YTaB3

YTaB3 at its PBEsol-relaxed geometry (SCAN, Alexandria).

Geometry as POSCAR:
```
YTaB3
1.0
4.1314 0.0000 0.0000
0.0000 4.1314 0.0000
0.0000 0.0000 4.1314
Y Ta B
1 1 3
Direct
0.0000 0.0000 0.0000
0.5000 0.5000 0.5000
0.0000 0.0000 0.5000
0.0000 0.5000 0.0000
0.5000 0.0000 0.0000
```

Values from the calculation:
As for the space group: Pm-3m, No. 221. Its formation energy is 2274 meV/atom.

(3)
# SiNiN3

SiNiN3 at its PBEsol-relaxed geometry (SCAN, Alexandria).

Geometry as POSCAR:
```
SiNiN3
1.0
3.5333 0.0000 0.0000
0.0000 3.5333 0.0000
0.0000 0.0000 3.5333
Si Ni N
1 1 3
Direct
0.0000 0.0000 0.0000
0.5000 0.5000 0.5000
0.0000 0.0000 0.5000
0.0000 0.5000 0.0000
0.5000 0.0000 0.0000
```

Values from the calculation:
The uncorrected formation energy is 867 meV per atom. As for the space group: Pm-3m, No. 221.

(4)
# MgFeP4O12

MgFeP4O12 at its PBEsol-relaxed geometry (SCAN, Alexandria).

Geometry as POSCAR:
```
MgFeP4O12
1.0
5.9250 -4.1541 0.0000
5.9250 4.1541 0.0000
-4.8199 0.0000 8.7233
Mg Fe P O
2 2 8 24
Direct
0.0520 0.9480 0.7500
0.9480 0.0520 0.2500
0.0000 0.5000 0.5000
0.5000 0.0000 0.0000
0.2521 0.7298 0.0226
0.2702 0.7479 0.4774
0.2943 0.3120 0.8032
0.3120 0.2943 0.3032
0.6880 0.7057 0.6968
0.7057 0.6880 0.1968
0.7298 0.2521 0.5226
0.7479 0.2702 0.9774
0.0880 0.8481 0.0955
0.1200 0.2748 0.3180
0.1519 0.9120 0.4045
0.1896 0.3516 0.6522
0.1924 0.7162 0.5857
0.2157 0.4992 0.9363
0.2748 0.1200 0.8180
0.2838 0.8076 0.9143
0.3094 0.5325 0.3465
0.3516 0.1896 0.1522
0.4675 0.6906 0.1535
0.4992 0.2157 0.4363
0.5008 0.7843 0.5637
0.5325 0.3094 0.8465
0.6484 0.8104 0.8478
0.6906 0.4675 0.6535
0.7162 0.1924 0.0857
0.7252 0.8800 0.1820
0.7843 0.5008 0.0637
0.8076 0.2838 0.4143
0.8104 0.6484 0.3478
0.8481 0.0880 0.5955
0.8800 0.7252 0.6820
0.9120 0.1519 0.9045
```

Values from the calculation:
The uncorrected formation energy is -2445 meV per atom. As for the space group: C2/c, No. 15.

(5)
# KBa2Rh

KBa2Rh at its PBEsol-relaxed geometry (SCAN, Alexandria).

Geometry as POSCAR:
```
KBa2Rh
1.0
3.8520 -2.2244 0.0000
3.8520 2.2244 0.0000
-2.5961 0.0000 10.9815
K Ba Rh
1 2 1
Direct
0.0000 0.0000 0.0000
0.2163 0.2163 0.6473
0.7837 0.7837 0.3527
0.5000 0.5000 0.5000
```

Values from the calculation:
As for the space group: C2/m, No. 12. Its formation energy is -100 meV/atom. The value obtained for the energy above the most stable polymorph in this dataset is 0.000 eV/atom.

(6)
# ZnCuRh2

ZnCuRh2 at its PBEsol-relaxed geometry (SCAN, Alexandria).

Geometry as POSCAR:
```
ZnCuRh2
1.0
2.7182 0.0000 0.0000
0.0000 2.7182 0.0000
0.0000 0.0000 6.9875
Zn Cu Rh
1 1 2
Direct
0.0000 0.0000 0.0000
0.5000 0.5000 0.2365
0.0000 0.0000 0.4877
0.5000 0.5000 0.7454
```

Values from the calculation:
As for the space group: P4mm, No. 99. Its formation energy is -97 meV/atom.